Record 1
Material: LaINF2
Method: DFT, GGA-PBE
State: optimized geometry

Its energy relative to the lowest polymorph listed for this composition is 486.3 kJ/mol of formula units. As for the symmetry: P4/mmm, No. 123. The uncorrected formation energy comes out at -0.59 eV per atom.

Unit cell a=4.9077 b=4.9077 c=4.1545 alpha=90.00 beta=90.00 gamma=90.00
With the nearest neighbours (Å) after each atom.
Sites, in units of the cell vectors:
I (0.0000, 0.0000, 0.0000)  2 N 2.08
N (0.0000, 0.0000, 0.5000)  2 I 2.08
F (0.0000, 0.5000, 0.0000)  2 I 2.45
F (0.5000, 0.0000, 0.0000)  2 I 2.45
La (0.5000, 0.5000, 0.5000)  8 F 3.22, 4 N 3.47

Record 2
Material: ReNi2W2
Method: DFT, GGA-PBE
State: optimized geometry

As for the symmetry: P4/mbm, No. 127. For the energy relative to the elements, the calculation gives 0.68 eV/f.u.

Unit cell a=6.5648 b=6.5648 c=3.1967 alpha=90.00 beta=90.00 gamma=90.00
With the nearest neighbours (Å) after each atom.
Sites, in units of the cell vectors:
Re (0.0000, 0.0000, 0.0000)  4 Ni 2.60, 8 W 2.90
Re (0.5000, 0.5000, 0.0000)  4 Ni 2.60, 8 W 2.90
W (0.1782, 0.6782, 0.5000)  6 Ni 2.44-2.57
W (0.6782, 0.8218, 0.5000)  6 Ni 2.44-2.57
W (0.8218, 0.3218, 0.5000)  6 Ni 2.44-2.57
W (0.3218, 0.1782, 0.5000)  6 Ni 2.44-2.57
Ni (0.3770, 0.8770, 0.0000)  1 Ni 2.28, 2 W 2.44
Ni (0.8770, 0.6230, 0.0000)  1 Ni 2.28, 2 W 2.44
Ni (0.6230, 0.1230, 0.0000)  1 Ni 2.28, 2 W 2.44
Ni (0.1230, 0.3770, 0.0000)  1 Ni 2.28, 2 W 2.44

Record 3
Material: CoNi2Br
Method: DFT, GGA-PBE
State: optimized geometry

Its energy relative to the lowest polymorph listed for this composition is 1.8 kJ/mol of formula units. As for the symmetry: Pm, No. 6. The uncorrected formation energy comes out at 0.39 eV per atom.

Unit cell a=2.9241 b=3.1809 c=6.5184 alpha=89.84 beta=90.00 gamma=90.00
With the nearest neighbours (Å) after each atom.
Sites, in units of the cell vectors:
Br (0.0000, 0.5088, 0.5016)  2 Co 2.52, 2 Ni 2.52
Co (0.5000, 0.4984, 0.8169)  5 Ni 2.41-2.45, 2 Br 2.52
Ni (0.0000, 0.9972, 0.9953)  4 Co 2.45, 4 Ni 2.49
Ni (0.5000, 0.4956, 0.1862)  1 Co 2.41, 4 Ni 2.49, 2 Br 2.52

Record 4
Material: Cs2BaNaCl
Method: DFT, GGA-PBE
State: optimized geometry

As for the symmetry: P4/mmm, No. 123. The uncorrected formation energy comes out at -0.66 eV per atom.

Unit cell a=7.1656 b=7.1656 c=6.2302 alpha=90.00 beta=90.00 gamma=90.00
With the nearest neighbours (Å) after each atom.
Sites, in units of the cell vectors:
Cs (0.0000, 0.5000, 0.0000)  2 Cl 3.58
Cs (0.5000, 0.0000, 0.0000)  2 Cl 3.58
Na (0.5000, 0.5000, 0.5000)  8 Cs 4.75, 4 Ba 5.07
Ba (0.0000, 0.0000, 0.5000)  2 Cl 3.12
Cl (0.0000, 0.0000, 0.0000)  2 Ba 3.12